Compound: CsRb3H4
Source: Alexandria via LeMat-Bulk
Functional: PBE
Structure: optimized geometry

Its density of states at the Fermi level is 0.0 states/eV per cell. For the polymorph energy (0 for the lowest one), the calculation gives 2 meV/atom.

Geometry as POSCAR:
```
CsRb3H4
1.0
6.103 0.000 0.000
0.000 6.103 0.000
0.000 0.000 6.103
Cs Rb H
1 3 4
Cartesian
0.000 0.000 0.000
0.000 3.051 3.051
3.051 0.000 3.051
3.051 3.051 0.000
3.051 0.000 0.000
0.000 3.051 0.000
0.000 0.000 3.051
3.051 3.051 3.051
```

---

Compound: MnNiHg2N
Source: Alexandria via LeMat-Bulk
Functional: PBE
Structure: optimized geometry

Its density of states at the Fermi level is 2.6 states/eV per cell. As for the formation energy from raw total energies: 1346 meV/atom.

Geometry as POSCAR:
```
MnNiHg2N
1.0
4.958 0.000 0.000
0.000 4.623 0.000
0.000 0.000 4.958
Ni Mn Hg N
1 1 2 1
Cartesian
0.000 0.000 0.000
0.000 2.312 0.000
0.000 0.000 2.479
2.479 0.000 0.000
2.479 2.312 2.479
```

---

Compound: CsPtS3
Source: Alexandria via LeMat-Bulk
Functional: PBE
Structure: optimized geometry

Its density of states at the Fermi level is 10.2 states/eV per cell. As for the formation energy from raw total energies: -361 meV/atom.

Geometry as POSCAR:
```
CsPtS3
1.0
-0.239 -6.074 -1.904
5.221 -2.819 -2.317
3.659 -5.371 6.022
Cs Pt S
2 2 6
Cartesian
2.764 -4.293 2.695
5.877 -9.971 -0.895
5.318 -8.334 4.609
3.323 -5.931 -2.808
5.335 -6.052 3.901
3.177 -8.713 3.619
2.188 -5.220 -0.830
5.464 -5.551 -1.818
3.306 -8.212 -2.100
6.453 -9.045 2.630
```

---

So what do the calculations give for final energy? Going down the list: -2.310, -3.430, -4.216 eV per atom.